(1)
# ZrNpNiS3 | Alexandria | PBE | optimized geometry
data_ZrNpNiS3
_chemical_formula_sum 'Zr2 Np2 Ni2 S6'
_cell_length_a 7.7039
_cell_length_b 3.6608
_cell_length_c 8.0985
_cell_angle_alpha 90.00
_cell_angle_beta 103.13
_cell_angle_gamma 90.00
_symmetry_space_group_name_H-M 'P 1 21/m 1'
_symmetry_Int_Tables_number 11
loop_
_symmetry_equiv_pos_as_xyz
'x,y,z'
'-x,-y,-z'
'-x,y+1/2,-z'
'x,-y+1/2,z'
loop_
_atom_site_label
_atom_site_type_symbol
_atom_site_fract_x
_atom_site_fract_y
_atom_site_fract_z
_atom_site_occupancy
Zr1 Zr 0.1762 0.2500 0.1719 1
Np1 Np 0.3251 0.7500 0.7743 1
Ni1 Ni 0.4069 0.7500 0.4072 1
S1 S 0.0699 0.2500 0.8322 1
S2 S 0.2729 0.2500 0.4961 1
S3 S 0.4028 0.7500 0.1334 1
# * M_tot: 4.19 μB/f.u.
# * total DFT energy (no corrections): -47.1 eV/f.u.
# * volume: 18.535 Å³ per atom
# * uncorrected formation energy: -1.24 eV/atom
# * crystal system: monoclinic

(2)
# KCdP | Alexandria | PBE | optimized geometry
data_KCdP
_chemical_formula_sum 'K2 Cd2 P2'
_cell_length_a 5.2537
_cell_length_b 4.0547
_cell_length_c 8.2941
_cell_angle_alpha 90.00
_cell_angle_beta 100.97
_cell_angle_gamma 90.00
_symmetry_space_group_name_H-M 'P 1 2/m 1'
_symmetry_Int_Tables_number 10
loop_
_symmetry_equiv_pos_as_xyz
'x,y,z'
'-x,-y,-z'
'-x,y,-z'
'x,-y,z'
loop_
_atom_site_label
_atom_site_type_symbol
_atom_site_fract_x
_atom_site_fract_y
_atom_site_fract_z
_atom_site_occupancy
K1 K 0.1954 0.0000 0.1976 1
Cd1 Cd 0.2721 0.5000 0.5824 1
P1 P 0.3332 0.5000 0.9091 1
# * M_tot: 0.00 μB/f.u.
# * total DFT energy (no corrections): -7.9 eV/f.u.
# * volume: 28.909 Å³ per atom
# * ΔH_f (0 K): -0.161 eV per atom
# * crystal system: monoclinic

(3)
# PrEr2Tm6Sc | Alexandria | PBE | optimized geometry
data_PrEr2Tm6Sc
_chemical_formula_sum 'Pr4 Er8 Tm24 Sc4'
_cell_length_a 9.2024
_cell_length_b 15.4801
_cell_length_c 8.5970
_cell_angle_alpha 90.00
_cell_angle_beta 91.13
_cell_angle_gamma 90.00
_symmetry_space_group_name_H-M 'C 1 2/c 1'
_symmetry_Int_Tables_number 15
loop_
_symmetry_equiv_pos_as_xyz
'x,y,z'
'-x,-y,-z'
'-x,y,-z+1/2'
'x,-y,z+1/2'
'x+1/2,y+1/2,z'
'-x+1/2,-y+1/2,-z'
'-x+1/2,y+1/2,-z+1/2'
'x+1/2,-y+1/2,z+1/2'
loop_
_atom_site_label
_atom_site_type_symbol
_atom_site_fract_x
_atom_site_fract_y
_atom_site_fract_z
_atom_site_occupancy
Pr1 Pr 0.0000 0.0349 0.2500 1
Er1 Er 0.2326 0.4428 0.4399 1
Tm1 Tm 0.0383 0.1728 0.9455 1
Tm2 Tm 0.1058 0.3707 0.0901 1
Tm3 Tm 0.2493 0.2915 0.7068 1
Sc1 Sc 0.0000 0.4417 0.7500 1
# * M_tot: 0.00 μB/f.u.
# * total DFT energy (no corrections): -45.8 eV/f.u.
# * volume: 30.611 Å³ per atom
# * ΔH_f (0 K): 0.125 eV per atom
# * crystal system: monoclinic

(4)
# MgCuTc2 | Alexandria | PBE | optimized geometry
data_MgCuTc2
_chemical_formula_sum 'Mg4 Cu4 Tc8'
_cell_length_a 7.2872
_cell_length_b 7.2872
_cell_length_c 4.8434
_cell_angle_alpha 90.00
_cell_angle_beta 90.00
_cell_angle_gamma 90.00
_symmetry_space_group_name_H-M 'I -4 2 d'
_symmetry_Int_Tables_number 122
_symmetry_space_group_name_Hall 'I -4 2bw'
loop_
_atom_site_label
_atom_site_type_symbol
_atom_site_fract_x
_atom_site_fract_y
_atom_site_fract_z
_atom_site_occupancy
Mg1 Mg 0.0000 0.0000 0.0000 1
Cu1 Cu 0.0000 0.0000 0.5000 1
Tc1 Tc 0.2124 0.2500 0.6250 1
# * M_tot: 0.00 μB/f.u.
# * total DFT energy (no corrections): -23.6 eV/f.u.
# * volume: 16.075 Å³ per atom
# * ΔH_f (0 K): 0.718 eV per atom
# * crystal system: tetragonal

(5)
# Ga3PtN | Alexandria | PBE | optimized geometry
data_Ga3PtN
_chemical_formula_sum 'Ga3 Pt1 N1'
_cell_length_a 4.7986
_cell_length_b 4.7986
_cell_length_c 4.7986
_cell_angle_alpha 90.00
_cell_angle_beta 90.00
_cell_angle_gamma 90.00
_symmetry_space_group_name_H-M 'P m -3 m'
_symmetry_Int_Tables_number 221
_symmetry_space_group_name_Hall '-P 4 2 3'
loop_
_atom_site_label
_atom_site_type_symbol
_atom_site_fract_x
_atom_site_fract_y
_atom_site_fract_z
_atom_site_occupancy
Ga1 Ga 0.0000 0.0000 0.5000 1
Pt1 Pt 0.0000 0.0000 0.0000 1
N1 N 0.5000 0.5000 0.5000 1
# * M_tot: 2.00 μB/f.u.
# * total DFT energy (no corrections): -20.2 eV/f.u.
# * volume: 22.100 Å³ per atom
# * uncorrected formation energy: 0.64 eV/atom
# * crystal system: cubic
# * ΔE to the lowest computed polymorph: 394 meV/atom

(6)
# KCrHg2 | Alexandria | PBE | optimized geometry
data_KCrHg2
_chemical_formula_sum 'K1 Cr1 Hg2'
_cell_length_a 3.5356
_cell_length_b 4.4049
_cell_length_c 7.6657
_cell_angle_alpha 90.00
_cell_angle_beta 90.18
_cell_angle_gamma 90.00
_symmetry_space_group_name_H-M 'P 1 m 1'
_symmetry_Int_Tables_number 6
loop_
_symmetry_equiv_pos_as_xyz
'x,y,z'
'x,-y,z'
loop_
_atom_site_label
_atom_site_type_symbol
_atom_site_fract_x
_atom_site_fract_y
_atom_site_fract_z
_atom_site_occupancy
K1 K 0.0000 0.0000 0.0000 1
Cr1 Cr 0.9944 0.5000 0.4108 1
Hg1 Hg 0.4947 0.0000 0.4041 1
Hg2 Hg 0.4976 0.5000 0.7174 1
# * M_tot: 4.39 μB/f.u.
# * total DFT energy (no corrections): -10.3 eV/f.u.
# * volume: 29.846 Å³ per atom
# * ΔH_f (0 K): 0.257 eV per atom
# * crystal system: monoclinic
# * ΔE to the lowest computed polymorph: 27 meV/atom

(7)
# In2NiSn | Alexandria | PBE | optimized geometry
data_In2NiSn
_chemical_formula_sum 'In6 Ni3 Sn3'
_cell_length_a 3.2800
_cell_length_b 3.2800
_cell_length_c 31.3499
_cell_angle_alpha 90.00
_cell_angle_beta 90.00
_cell_angle_gamma 120.00
_symmetry_space_group_name_H-M 'R -3 m'
_symmetry_Int_Tables_number 166
_symmetry_space_group_name_Hall '-R 3 2"'
loop_
_atom_site_label
_atom_site_type_symbol
_atom_site_fract_x
_atom_site_fract_y
_atom_site_fract_z
_atom_site_occupancy
In1 In 0.0000 0.0000 0.0802 1
Ni1 Ni 0.0000 0.0000 0.0000 1
Sn1 Sn 0.0000 0.0000 0.5000 1
# * M_tot: 0.32 μB/f.u.
# * total DFT energy (no corrections): -13.5 eV/f.u.
# * volume: 24.341 Å³ per atom
# * ΔH_f (0 K): 0.442 eV per atom
# * crystal system: trigonal

(8)
# MgBi | Alexandria | PBE | optimized geometry
data_MgBi
_chemical_formula_sum 'Mg2 Bi2'
_cell_length_a 3.4947
_cell_length_b 5.6950
_cell_length_c 5.7816
_cell_angle_alpha 97.70
_cell_angle_beta 97.18
_cell_angle_gamma 100.01
_symmetry_space_group_name_H-M 'P -1'
_symmetry_Int_Tables_number 2
loop_
_symmetry_equiv_pos_as_xyz
'x,y,z'
'-x,-y,-z'
loop_
_atom_site_label
_atom_site_type_symbol
_atom_site_fract_x
_atom_site_fract_y
_atom_site_fract_z
_atom_site_occupancy
Mg1 Mg 0.0399 0.2397 0.3188 1
Bi1 Bi 0.3155 0.7521 0.2128 1
# * M_tot: 0.00 μB/f.u.
# * total DFT energy (no corrections): -5.7 eV/f.u.
# * volume: 27.748 Å³ per atom
# * ΔH_f (0 K): -0.113 eV per atom
# * crystal system: triclinic

(9)
# Tl2RuRhO6 | Alexandria | PBE | optimized geometry
data_Tl2RuRhO6
_chemical_formula_sum 'Tl2 Ru1 Rh1 O6'
_cell_length_a 5.4960
_cell_length_b 5.4960
_cell_length_c 4.4237
_cell_angle_alpha 90.00
_cell_angle_beta 90.00
_cell_angle_gamma 90.00
_symmetry_space_group_name_H-M 'P 4 m m'
_symmetry_Int_Tables_number 99
loop_
_symmetry_equiv_pos_as_xyz
'x,y,z'
'-y,x,z'
'-x,-y,z'
'y,-x,z'
'-x,y,z'
'y,x,z'
'x,-y,z'
'-y,-x,z'
loop_
_atom_site_label
_atom_site_type_symbol
_atom_site_fract_x
_atom_site_fract_y
_atom_site_fract_z
_atom_site_occupancy
Tl1 Tl 0.0000 0.5000 0.0000 1
Ru1 Ru 0.0000 0.0000 0.5057 1
Rh1 Rh 0.5000 0.5000 0.5280 1
O1 O 0.0000 0.0000 0.0850 1
O2 O 0.2437 0.2437 0.5675 1
O3 O 0.5000 0.5000 0.0664 1
# * M_tot: 0.00 μB/f.u.
# * total DFT energy (no corrections): -57.0 eV/f.u.
# * volume: 13.362 Å³ per atom
# * uncorrected formation energy: -0.59 eV/atom
# * crystal system: tetragonal

(10)
# NaCaNbPb2 | Alexandria | PBE | optimized geometry
data_NaCaNbPb2
_chemical_formula_sum 'Na1 Ca1 Nb1 Pb2'
_cell_length_a 5.6308
_cell_length_b 5.6308
_cell_length_c 4.8993
_cell_angle_alpha 90.00
_cell_angle_beta 90.00
_cell_angle_gamma 90.00
_symmetry_space_group_name_H-M 'P 4/m m m'
_symmetry_Int_Tables_number 123
_symmetry_space_group_name_Hall '-P 4 2'
loop_
_atom_site_label
_atom_site_type_symbol
_atom_site_fract_x
_atom_site_fract_y
_atom_site_fract_z
_atom_site_occupancy
Na1 Na 0.0000 0.0000 0.0000 1
Ca1 Ca 0.0000 0.0000 0.5000 1
Nb1 Nb 0.5000 0.5000 0.0000 1
Pb1 Pb 0.0000 0.5000 0.5000 1
# * M_tot: 0.00 μB/f.u.
# * total DFT energy (no corrections): -14.0 eV/f.u.
# * volume: 31.067 Å³ per atom
# * ΔH_f (0 K): 1.361 eV per atom
# * crystal system: tetragonal

(11)
# NaIn2RuO8 | Alexandria | PBE | optimized geometry
data_NaIn2RuO8
_chemical_formula_sum 'Na1 In2 Ru1 O8'
_cell_length_a 4.2650
_cell_length_b 6.7101
_cell_length_c 5.1964
_cell_angle_alpha 90.00
_cell_angle_beta 91.10
_cell_angle_gamma 90.00
_symmetry_space_group_name_H-M 'P 1 2/m 1'
_symmetry_Int_Tables_number 10
loop_
_symmetry_equiv_pos_as_xyz
'x,y,z'
'-x,-y,-z'
'-x,y,-z'
'x,-y,z'
loop_
_atom_site_label
_atom_site_type_symbol
_atom_site_fract_x
_atom_site_fract_y
_atom_site_fract_z
_atom_site_occupancy
Na1 Na 0.0000 0.0000 0.0000 1
In1 In 0.5000 0.2630 0.5000 1
Ru1 Ru 0.0000 0.5000 0.0000 1
O1 O 0.1578 0.0000 0.5678 1
O2 O 0.2312 0.5000 0.6762 1
O3 O 0.2550 0.2938 0.1364 1
# * M_tot: 0.79 μB/f.u.
# * total DFT energy (no corrections): -66.9 eV/f.u.
# * volume: 12.390 Å³ per atom
# * uncorrected formation energy: -0.93 eV/atom
# * crystal system: monoclinic

(12)
# Na2TcO3 | Alexandria | PBE | optimized geometry
data_Na2TcO3
_chemical_formula_sum 'Na8 Tc4 O12'
_cell_length_a 5.4978
_cell_length_b 9.5186
_cell_length_c 5.7370
_cell_angle_alpha 90.00
_cell_angle_beta 108.99
_cell_angle_gamma 90.00
_symmetry_space_group_name_H-M 'C 1 2/m 1'
_symmetry_Int_Tables_number 12
loop_
_symmetry_equiv_pos_as_xyz
'x,y,z'
'-x,-y,-z'
'-x,y,-z'
'x,-y,z'
'x+1/2,y+1/2,z'
'-x+1/2,-y+1/2,-z'
'-x+1/2,y+1/2,-z'
'x+1/2,-y+1/2,z'
loop_
_atom_site_label
_atom_site_type_symbol
_atom_site_fract_x
_atom_site_fract_y
_atom_site_fract_z
_atom_site_occupancy
Na1 Na 0.0000 0.0000 0.0000 1
Na2 Na 0.0000 0.1593 0.5000 1
Na3 Na 0.0000 0.5000 0.5000 1
Tc1 Tc 0.0000 0.3328 0.0000 1
O1 O 0.2035 0.5000 0.2091 1
O2 O 0.2460 0.3160 0.7923 1
# * M_tot: 3.00 μB/f.u.
# * total DFT energy (no corrections): -37.0 eV/f.u.
# * volume: 11.829 Å³ per atom
# * uncorrected formation energy: -1.51 eV/atom
# * crystal system: monoclinic